[1]
Density functional theory data (PBE) for Tb2YGe3Pt4 after structural relaxation.

The structure in POSCAR format:
```
Tb2YGe3Pt4
1.0
4.1991 0.0000 0.0000
0.0000 4.1991 0.0000
0.0000 0.0000 11.4677
Tb Y Ge Pt
2 1 3 4
Direct
0.0000 0.5000 0.2204
0.5000 0.0000 0.7796
0.0000 0.0000 0.5000
0.0000 0.5000 0.8734
0.5000 0.0000 0.1266
0.5000 0.5000 0.5000
0.0000 0.0000 0.0000
0.0000 0.5000 0.6610
0.5000 0.0000 0.3390
0.5000 0.5000 0.0000
```

Results
- formation energy from the elements (eV per atom) = -0.940
- magnetization (μB/f.u.) = 0.000



[2]
Density functional theory data (PBE) for NbTlV2 after structural relaxation.

The structure in POSCAR format:
```
NbTlV2
1.0
0.0000 3.2259 3.2259
3.2259 0.0000 3.2259
3.2259 3.2259 0.0000
Nb Tl V
1 1 2
Direct
0.0000 0.0000 0.0000
0.5000 0.5000 0.5000
0.2500 0.2500 0.2500
0.7500 0.7500 0.7500
```

Results
- formation energy from the elements (eV per atom) = 0.337
- magnetization (μB/f.u.) = 0.001
- ΔE to the lowest computed polymorph (eV per atom) = 0.000



[3]
Density functional theory data (PBE) for La2CeNi9 after structural relaxation.

The structure in POSCAR format:
```
La2CeNi9
1.0
2.4970 1.4416 8.4008
-2.4970 1.4416 8.4008
0.0000 -2.8833 8.4008
La Ce Ni
2 1 9
Direct
0.1376 0.1376 0.1376
0.8624 0.8624 0.8624
0.0000 0.0000 0.0000
0.0811 0.5792 0.5792
0.3328 0.3328 0.3328
0.4208 0.4208 0.9189
0.4208 0.9189 0.4208
0.5000 0.5000 0.5000
0.5792 0.0811 0.5792
0.5792 0.5792 0.0811
0.6672 0.6672 0.6672
0.9189 0.4208 0.4208
```

Results
- formation energy from the elements (eV per atom) = -0.340
- magnetization (μB/f.u.) = 0.001



[4]
Density functional theory data (PBE) for NdDyLuZn after structural relaxation.

The structure in POSCAR format:
```
NdDyLuZn
1.0
0.0000 3.7855 3.7855
3.7855 0.0000 3.7855
3.7855 3.7855 0.0000
Nd Dy Lu Zn
1 1 1 1
Direct
0.0000 0.0000 0.0000
0.5000 0.5000 0.5000
0.2500 0.2500 0.2500
0.7500 0.7500 0.7500
```

Results
- formation energy from the elements (eV per atom) = 0.015
- magnetization (μB/f.u.) = 0.011



[5]
Density functional theory data (PBE) for Cs3Np2O7 after structural relaxation.

The structure in POSCAR format:
```
Cs3Np2O7
1.0
4.3812 0.0000 0.0000
0.0000 4.3730 0.0000
-2.1800 0.0000 13.0381
Cs Np O
3 2 7
Direct
0.0000 0.0000 0.0000
0.1748 0.0000 0.3519
0.8252 0.0000 0.6481
0.4167 0.5000 0.8324
0.5833 0.5000 0.1676
0.0847 0.5000 0.1705
0.3426 0.5000 0.6834
0.4152 0.0000 0.8295
0.5000 0.5000 0.0000
0.5848 0.0000 0.1705
0.6574 0.5000 0.3166
0.9153 0.5000 0.8295
```

Results
- magnetization (μB/f.u.) = 3.000
- raw formation energy (eV per formula unit) = -29.72
- ΔE to the lowest computed polymorph (eV per atom) = 0.009



[6]
Density functional theory data (PBE) for RbNbC2 after structural relaxation.

The structure in POSCAR format:
```
RbNbC2
1.0
0.0000 3.0753 3.0753
3.0753 0.0000 3.0753
3.0753 3.0753 0.0000
Rb Nb C
1 1 2
Direct
0.0000 0.0000 0.0000
0.5000 0.5000 0.5000
0.2500 0.2500 0.2500
0.7500 0.7500 0.7500
```

Results
- formation energy from the elements (eV per atom) = 2.533
- magnetization (μB/f.u.) = 0.000
- ΔE to the lowest computed polymorph (eV per atom) = 1.692



[7]
Density functional theory data (PBE) for TiB2Rh after structural relaxation.

The structure in POSCAR format:
```
TiB2Rh
1.0
0.0000 2.7449 2.7449
2.7449 0.0000 2.7449
2.7449 2.7449 0.0000
Ti B Rh
1 2 1
Direct
0.0000 0.0000 0.0000
0.2500 0.2500 0.2500
0.7500 0.7500 0.7500
0.5000 0.5000 0.5000
```

Results
- formation energy from the elements (eV per atom) = -0.038
- magnetization (μB/f.u.) = 0.003



[8]
Density functional theory data (PBE) for Be2NbMo after structural relaxation.

The structure in POSCAR format:
```
Be2NbMo
1.0
-1.8359 1.8359 8.7958
1.8359 -1.8359 8.7958
1.8359 1.8359 -8.7958
Be Nb Mo
4 2 2
Direct
0.0869 0.6250 0.9619
0.3750 0.3369 0.4619
0.6631 0.1250 0.0381
0.8750 0.9131 0.5381
0.2500 0.7500 0.5000
0.5000 0.5000 0.0000
0.0000 0.0000 0.0000
0.7500 0.2500 0.5000
```

Results
- formation energy from the elements (eV per atom) = 0.719
- magnetization (μB/f.u.) = 0.000
- ΔE to the lowest computed polymorph (eV per atom) = 0.909



[9]
Density functional theory data (PBE) for Pa2In9Ga after structural relaxation.

The structure in POSCAR format:
```
Pa2In9Ga
1.0
4.6185 0.0000 0.0000
0.0000 4.6185 0.0000
0.0000 0.0000 14.1341
Pa In Ga
2 9 1
Direct
0.0000 0.0000 0.1639
0.0000 0.0000 0.8361
0.0000 0.5000 0.0000
0.0000 0.5000 0.3339
0.0000 0.5000 0.6661
0.5000 0.0000 0.0000
0.5000 0.0000 0.3339
0.5000 0.0000 0.6661
0.5000 0.5000 0.1637
0.5000 0.5000 0.5000
0.5000 0.5000 0.8363
0.0000 0.0000 0.5000
```

Results
- formation energy from the elements (eV per atom) = -0.039
- magnetization (μB/f.u.) = 1.055



[10]
Density functional theory data (PBE) for Ta2ReI after structural relaxation.

The structure in POSCAR format:
```
Ta2ReI
1.0
-2.6174 2.6174 7.6145
2.6174 -2.6174 7.6145
2.6174 2.6174 -7.6145
Ta Re I
4 2 2
Direct
0.0572 0.6250 0.9322
0.3750 0.3072 0.4322
0.6928 0.1250 0.0678
0.8750 0.9428 0.5678
0.0000 0.0000 0.0000
0.7500 0.2500 0.5000
0.2500 0.7500 0.5000
0.5000 0.5000 0.0000
```

Results
- magnetization (μB/f.u.) = 0.000
- raw formation energy (eV per formula unit) = 5.68
- ΔE to the lowest computed polymorph (eV per atom) = 0.539



[11]
Density functional theory data (PBE) for TmGe4Pd4 after structural relaxation.

The structure in POSCAR format:
```
TmGe4Pd4
1.0
6.2249 0.0000 0.0000
0.0000 6.2249 0.0000
0.0000 0.0000 8.3567
Tm Ge Pd
2 8 8
Direct
0.2500 0.7500 0.2500
0.7500 0.2500 0.7500
0.0245 0.2500 0.0484
0.2500 0.0245 0.5484
0.2500 0.4755 0.5484
0.4755 0.2500 0.0484
0.5245 0.7500 0.9516
0.7500 0.5245 0.4516
0.7500 0.9755 0.4516
0.9755 0.7500 0.9516
0.0283 0.2500 0.3450
0.2500 0.0283 0.8450
0.2500 0.4717 0.8450
0.4717 0.2500 0.3450
0.5283 0.7500 0.6550
0.7500 0.5283 0.1550
0.7500 0.9717 0.1550
0.9717 0.7500 0.6550
```

Results
- formation energy from the elements (eV per atom) = -0.466
- magnetization (μB/f.u.) = 0.000



[12]
Density functional theory data (PBE) for CdSnAs after structural relaxation.

The structure in POSCAR format:
```
CdSnAs
1.0
0.0000 3.4528 3.4528
3.4528 0.0000 3.4528
3.4528 3.4528 0.0000
Cd Sn As
1 1 1
Direct
0.0000 0.0000 0.0000
0.5000 0.5000 0.5000
0.7500 0.7500 0.7500
```

Results
- formation energy from the elements (eV per atom) = 0.091
- magnetization (μB/f.u.) = 0.000